No. 1
Material: Dy2Pb2O7
Method: DFT, PBEsol
State: relaxed

Computed properties:
- uncorrected formation energy (eV/atom) = -2.1442
- M_tot (μB/atom) = 0.000

Cell: 10.627 10.627 10.627 Å, 90.00 90.00 90.00°
Space group Fd-3m (No. 227, origin choice 2)
One atom of each set of equivalent atoms:
Dy 0.000 0.000 0.000 x16
Pb 0.000 0.000 0.500 x16
O 0.100 0.375 0.875 x48
O 0.125 0.125 0.125 x8

No. 2
Material: MnSb2Au
Method: DFT, PBEsol
State: relaxed

Computed properties:
- excess energy over the best structure of this formula in the dataset (kJ/mol of formula units) = 0
- uncorrected formation energy (eV/atom) = 0.0550
- M_tot (μB/atom) = 0.858

Cell: 3.837 4.091 5.499 Å, 90.00 109.77 90.00°
Space group Pm (No. 6)
One atom of each set of equivalent atoms:
Mn 0.000 0.000 0.000 x1
Sb 0.262 0.000 0.538 x1
Sb 0.554 0.500 0.113 x1
Au 0.819 0.500 0.656 x1

No. 3
Material: MnHgCl3
Method: DFT, PBEsol
State: relaxed

Computed properties:
- uncorrected formation energy (eV/atom) = -0.5691
- M_tot (μB/atom) = 0.828

Cell: 4.796 4.796 4.796 Å, 90.00 90.00 90.00°
Space group Pm-3m (No. 221)
One atom of each set of equivalent atoms:
Mn 0.000 0.000 0.000 x1
Hg 0.500 0.500 0.500 x1
Cl 0.000 0.000 0.500 x3

No. 4
Material: LiZn3
Method: DFT, PBEsol
State: relaxed

Computed properties:
- M_tot (μB/atom) = 0.000
- ΔH_f (0 K) (meV/atom) = -103

Cell: 8.808 2.648 4.809 Å, 90.00 97.77 90.00°
Space group C2/m (No. 12)
One atom of each set of equivalent atoms:
Li 0.000 0.000 0.000 x2
Zn 0.000 0.500 0.500 x2
Zn 0.244 0.000 0.751 x4

No. 5
Material: TlAgSe
Method: DFT, PBEsol
State: relaxed

Computed properties:
- excess energy over the best structure of this formula in the dataset (kJ/mol of formula units) = 6
- uncorrected formation energy (eV/atom) = -0.1932
- M_tot (μB/atom) = 0.000

Cell: 4.4497 4.4497 4.3616 Å, 90.00 90.00 120.00°
Space group P-6m2 (No. 187)
One atom of each set of equivalent atoms:
Tl 0.0000 0.0000 0.0000 x1
Ag 0.3333 0.6667 0.5000 x1
Se 0.6667 0.3333 0.5000 x1

No. 6
Material: LiMoP4O12
Method: DFT, PBEsol
State: relaxed

Computed properties:
- uncorrected formation energy (eV/atom) = -2.0490
- M_tot (μB/atom) = 0.167

Cell: 15.546 7.345 9.682 Å, 90.00 123.02 90.00°
Space group C2/c (No. 15)
One atom of each set of equivalent atoms:
Li 0.000 0.195 0.250 x4
Mo 0.000 0.365 0.750 x4
P 0.129 0.077 0.634 x8
P 0.140 0.331 0.169 x8
O 0.070 0.414 0.213 x8
O 0.071 0.072 0.452 x8
O 0.100 0.202 0.723 x8
O 0.118 0.363 0.999 x8
O 0.141 0.122 0.212 x8
O 0.247 0.111 0.695 x8

Repeat the third record exactly.
Material: MnHgCl3
Method: DFT, PBEsol
State: relaxed

Computed properties:
- uncorrected formation energy (eV/atom) = -0.5691
- M_tot (μB/atom) = 0.828

Cell: 4.796 4.796 4.796 Å, 90.00 90.00 90.00°
Space group Pm-3m (No. 221)
One atom of each set of equivalent atoms:
Mn 0.000 0.000 0.000 x1
Hg 0.500 0.500 0.500 x1
Cl 0.000 0.000 0.500 x3

What is the formula in the fourth record? LiZn3

What is the formula in the fifth record? TlAgSe

Which of these has the highest M_tot? MnSb2Au